GaCu | OQMD via LeMat-Bulk | PBE-GGA | relaxed; calculated density = 5.2 g/cm3; energy = -2.910 eV/atom; space-group type = F-43m
1.0
1.400 -3.444 -1.205
0.563 -2.888 2.572
-2.322 -3.143 -0.053
Cu Ga
1 1
Cartesian
0.000 0.000 0.000 Cu
-0.090 -2.369 0.329 Ga

=====

IrS2 | OQMD via LeMat-Bulk | PBE-GGA | relaxed; calculated density = 6.6 g/cm3; energy = -5.968 eV/atom; space-group type = I4/m
1.0
-5.936 5.936 1.826
5.936 -5.936 1.826
5.936 5.936 -1.826
Ir S
4 8
Cartesian
4.021 -1.790 1.826 Ir
1.790 4.021 1.826 Ir
4.146 1.915 0.000 Ir
1.915 7.726 0.000 Ir
-3.513 4.148 1.826 S
-0.507 3.968 1.826 S
1.788 2.423 0.000 S
3.968 0.507 1.826 S
1.968 5.429 0.000 S
4.148 3.513 1.826 S
6.443 1.968 0.000 S
9.450 1.788 0.000 S

=====

Ho4AlCo2Ge4 | OQMD via LeMat-Bulk | PBE-GGA | relaxed; calculated density = 8.6 g/cm3; energy = -5.701 eV/atom; space-group type = C2/m
1.0
7.593 -2.113 0.000
7.593 2.113 0.000
-2.068 0.000 6.575
Al Co Ge Ho
1 2 4 4
Cartesian
0.000 0.000 0.000 Al
11.070 0.000 2.415 Co
2.047 0.000 4.160 Co
2.530 0.000 1.755 Ge
13.485 0.000 2.194 Ge
-0.368 0.000 4.381 Ge
10.588 0.000 4.820 Ge
5.159 0.000 0.386 Ho
8.149 0.000 2.548 Ho
4.969 0.000 4.027 Ho
7.958 0.000 6.190 Ho

=====

NdSn2Se3 | OQMD via LeMat-Bulk | PBE-GGA | relaxed; calculated density = 6.0 g/cm3; energy = -4.705 eV/atom; space-group type = P-3m1
1.0
-1.488 -3.564 -1.867
2.982 2.369 -1.972
7.681 -5.703 4.765
Nd Se Sn
1 3 2
Cartesian
3.840 -2.851 2.382 Nd
0.000 0.000 0.000 Se
2.603 -3.517 -0.289 Se
6.573 -3.380 1.215 Se
2.708 -0.511 -1.183 Sn
6.468 -6.386 2.109 Sn

=====

TbHfBe2Ge2 | OQMD via LeMat-Bulk | PBE-GGA | relaxed; calculated density = 8.5 g/cm3; energy = -5.826 eV/atom; space-group type = P-3m1
1.0
-3.340 -1.563 1.037
1.721 -1.128 -3.231
3.780 -5.477 3.925
Be Ge Hf Tb
2 2 1 1
Cartesian
-0.806 -2.645 0.494 Be
2.967 -5.522 1.237 Be
0.932 -2.574 -0.876 Ge
1.229 -5.594 2.607 Ge
0.000 0.000 0.000 Hf
1.890 -2.739 1.963 Tb

=====

UNiHg | OQMD via LeMat-Bulk | PBE-GGA | relaxed; calculated density = 11.7 g/cm3; energy = -4.842 eV/atom; space-group type = F-43m; DFT formation energy = 20.26 kcal/mol of atoms; offset from the most stable computed form = 0 meV per atom
1.0
-3.211 2.388 2.337
-0.848 4.423 -1.090
-3.986 1.155 -2.062
Hg Ni U
1 1 1
Cartesian
0.000 0.000 0.000 Hg
-2.011 1.992 -0.204 Ni
-6.033 5.975 -0.611 U

=====

Li2Mg2GePt2Pb | OQMD via LeMat-Bulk | PBE-GGA | relaxed; calculated density = 9.1 g/cm3; energy = -3.975 eV/atom; space-group type = P-4m2
1.0
4.508 0.000 0.000
0.000 4.508 0.000
0.000 0.000 6.604
Ge Li Mg Pb Pt
1 2 2 1 2
Cartesian
0.000 0.000 0.000 Ge
2.254 0.000 1.470 Li
0.000 2.254 5.134 Li
2.254 2.254 0.000 Mg
0.000 0.000 3.302 Mg
2.254 2.254 3.302 Pb
0.000 2.254 1.453 Pt
2.254 0.000 5.151 Pt

=====

TbTmTlFe2 | OQMD via LeMat-Bulk | PBE-GGA | relaxed; calculated density = 10.4 g/cm3; energy = -5.773 eV/atom; space-group type = Amm2
1.0
3.888 0.000 0.000
0.000 1.901 6.951
0.000 -1.901 6.951
Fe Tb Tl Tm
2 1 1 1
Cartesian
1.944 0.000 2.945 Fe
1.944 0.000 11.002 Fe
0.000 0.000 8.880 Tb
1.944 0.000 13.876 Tl
0.000 0.000 5.004 Tm

=====

Cs2HfHgBr6 | OQMD via LeMat-Bulk | PBE-GGA | relaxed; calculated density = 4.4 g/cm3; energy = -3.633 eV/atom; space-group type = Fm-3m
1.0
1.813 -8.048 -1.669
-5.097 -6.116 2.731
-4.701 -4.323 -5.483
Br Cs Hf Hg
6 2 1 1
Cartesian
-0.742 -8.574 -1.908 Br
-4.611 -7.493 0.556 Br
-3.596 -11.998 -0.378 Br
-4.389 -6.489 -4.042 Br
-3.374 -10.994 -4.977 Br
-7.242 -9.913 -2.513 Br
-1.996 -4.622 -1.105 Cs
-5.989 -13.865 -3.315 Cs
0.000 0.000 0.000 Hf
-3.992 -9.243 -2.210 Hg

=====

AcHoHf | OQMD via LeMat-Bulk | PBE-GGA | relaxed; calculated density = 8.7 g/cm3; energy = -5.375 eV/atom; space-group type = F-43m; DFT formation energy = 19.32 kcal/mol of atoms; offset from the most stable computed form = 0 meV per atom
1.0
2.754 -2.435 -3.913
2.352 -4.738 0.920
-1.947 -4.452 -2.284
Ac Hf Ho
1 1 1
Cartesian
0.790 -2.906 -1.319 Ac
0.000 0.000 0.000 Hf
2.369 -8.718 -3.958 Ho

=====

TmCoMo | OQMD via LeMat-Bulk | PBE-GGA | relaxed; calculated density = 9.4 g/cm3; energy = -6.660 eV/atom; space-group type = F-43m; DFT formation energy = 18.82 kcal/mol of atoms; offset from the most stable computed form = 0 meV per atom
1.0
0.000 3.058 3.058
3.058 0.000 3.058
3.058 3.058 0.000
Co Mo Tm
1 1 1
Cartesian
1.529 1.529 1.529 Co
0.000 0.000 0.000 Mo
4.587 4.587 4.587 Tm

=====

TmOsNO | OQMD via LeMat-Bulk | PBE-GGA | relaxed; calculated density = 12.9 g/cm3; energy = -8.376 eV/atom; space-group type = Pmc2_1; offset from the most stable computed form = 340 meV per atom
1.0
-3.190 -0.249 1.375
-1.528 -2.310 -3.964
1.472 -5.213 2.471
N O Os Tm
2 2 2 2
Cartesian
-1.087 -3.687 -3.190 N
0.341 -4.881 -0.095 N
-1.888 -1.015 -0.154 O
-1.357 -6.756 0.038 O
-1.040 -2.235 1.593 Os
-1.499 -4.469 0.122 Os
-0.547 -1.996 -1.632 Tm
1.226 -4.416 2.045 Tm

=====

YPbAuO3 | OQMD via LeMat-Bulk | PBE-GGA | relaxed; calculated density = 9.0 g/cm3; energy = -6.140 eV/atom; space-group type = Cmcm
1.0
-7.304 2.664 4.488
5.196 -1.988 -7.046
-2.201 -6.292 0.152
Au O Pb Y
2 6 2 2
Cartesian
-3.336 -0.590 0.357 Au
-0.973 -5.025 -2.763 Au
3.528 -1.634 -5.577 O
-1.426 -1.301 -1.405 O
2.592 -4.308 -5.513 O
-6.902 -1.308 3.107 O
-2.883 -4.315 -1.000 O
-7.837 -3.982 3.172 O
-5.370 0.166 2.234 Pb
1.060 -5.782 -4.639 Pb
0.000 0.000 0.000 Y
-1.101 -3.146 0.076 Y

=====

MgReSn | OQMD via LeMat-Bulk | PBE-GGA | relaxed; calculated density = 8.4 g/cm3; energy = -5.341 eV/atom; space-group type = F-43m
1.0
0.000 3.192 3.192
3.192 0.000 3.192
3.192 3.192 0.000
Mg Re Sn
1 1 1
Cartesian
1.596 1.596 1.596 Mg
0.000 0.000 0.000 Re
4.788 4.788 4.788 Sn

=====

K4TcGeS6 | OQMD via LeMat-Bulk | PBE-GGA | relaxed; calculated density = 2.5 g/cm3; energy = -4.563 eV/atom; space-group type = P1
1.0
6.643 0.000 0.000
3.101 6.627 0.000
2.964 1.509 7.907
Ge K S Tc
1 4 6 1
Cartesian
9.546 4.780 5.500 Ge
6.454 4.750 1.036 K
6.614 0.821 2.529 K
6.093 7.474 5.473 K
6.259 3.292 6.866 K
3.137 4.622 0.609 S
3.318 1.160 2.175 S
8.137 3.896 3.813 S
4.584 4.189 3.961 S
9.394 6.968 5.779 S
9.549 3.513 7.298 S
3.168 3.352 2.404 Tc

=====

Cu14Te | OQMD via LeMat-Bulk | PBE-GGA | relaxed; calculated density = 4.6 g/cm3; energy = -3.532 eV/atom; space-group type = P2_1/m; offset from the most stable computed form = 107 meV per atom
1.0
10.303 0.000 0.000
0.000 2.649 0.000
-0.357 0.000 27.157
Cu Te
28 2
Cartesian
1.061 1.987 0.212 Cu
3.178 0.662 0.650 Cu
5.276 1.987 1.081 Cu
7.395 0.662 1.505 Cu
9.515 1.987 1.956 Cu
1.329 0.662 2.373 Cu
3.418 1.987 2.823 Cu
5.545 0.662 3.225 Cu
7.659 1.987 3.652 Cu
9.791 0.662 4.084 Cu
1.608 1.987 4.565 Cu
3.690 0.662 4.967 Cu
5.804 1.987 5.382 Cu
7.888 0.662 5.815 Cu
2.059 1.987 21.342 Cu
4.142 0.662 21.775 Cu
6.257 1.987 22.190 Cu
8.339 0.662 22.592 Cu
0.156 1.987 23.073 Cu
2.288 0.662 23.505 Cu
4.401 1.987 23.932 Cu
6.529 0.662 24.334 Cu
8.618 1.987 24.784 Cu
0.432 0.662 25.201 Cu
2.552 1.987 25.652 Cu
4.670 0.662 26.076 Cu
6.769 1.987 26.507 Cu
8.885 0.662 26.945 Cu
10.177 1.987 6.672 Te
-0.230 0.662 20.485 Te

=====

SrYCuTe3 | OQMD via LeMat-Bulk | PBE-GGA | relaxed; calculated density = 5.6 g/cm3; energy = -4.741 eV/atom; space-group type = P2_1/m
1.0
8.496 0.000 0.000
0.000 4.307 0.000
-2.882 0.000 10.099
Cu Sr Te Y
2 2 6 2
Cartesian
6.670 3.230 4.177 Cu
-1.055 1.077 5.923 Cu
1.172 1.077 3.031 Sr
4.442 3.230 7.068 Sr
3.212 3.230 1.504 Te
7.554 3.230 1.644 Te
5.066 1.077 4.611 Te
0.549 3.230 5.488 Te
-1.939 1.077 8.455 Te
2.403 1.077 8.595 Te
5.425 1.077 1.601 Y
0.189 3.230 8.498 Y

=====

Hf2Zr4Zn3N3 | OQMD via LeMat-Bulk | PBE-GGA | relaxed; calculated density = 8.2 g/cm3; energy = -7.867 eV/atom; space-group type = C2/c
1.0
4.903 -2.830 0.000
4.903 2.830 0.000
-3.277 0.000 13.963
Hf N Zn Zr
4 6 6 8
Cartesian
4.068 -0.481 1.167 Hf
4.099 -0.481 5.815 Hf
2.430 0.481 8.148 Hf
2.461 0.481 12.796 Hf
2.451 -1.415 0.000 N
5.706 -1.390 0.000 N
4.100 1.390 0.000 N
4.067 1.390 6.981 N
0.813 1.415 6.981 N
2.462 -1.390 6.981 N
5.554 0.387 3.486 Zn
4.084 -2.173 3.491 Zn
2.613 0.387 3.495 Zn
3.915 -0.387 10.468 Zn
2.445 2.173 10.472 Zn
0.975 -0.387 10.476 Zn
7.371 -0.480 1.283 Zr
0.819 -0.452 1.284 Zr
7.348 -0.452 5.697 Zr
0.796 -0.480 5.698 Zr
5.733 0.480 8.264 Zr
-0.819 0.452 8.265 Zr
5.710 0.452 12.679 Zr
-0.842 0.480 12.680 Zr

=====

Hf4Cd3W2C3 | OQMD via LeMat-Bulk | PBE-GGA | relaxed; calculated density = 12.3 g/cm3; energy = -8.388 eV/atom; space-group type = C2/c
1.0
-3.647 -4.051 -1.156
-1.727 -3.425 4.041
-9.241 11.622 2.014
C Cd Hf W
6 6 8 4
Cartesian
-1.823 -2.025 -0.578 C
-3.604 -4.505 0.396 C
-7.338 2.531 0.929 C
-5.484 4.099 3.028 C
-7.276 1.615 3.971 C
-11.010 8.651 4.504 C
-5.657 -1.936 2.732 Cd
-5.734 -1.072 -0.049 Cd
-4.074 0.357 1.871 Cd
-10.540 3.789 3.029 Cd
-8.880 5.219 4.948 Cd
-8.956 6.083 2.168 Cd
-1.574 0.131 0.109 Hf
-5.194 -4.884 1.988 Hf
-5.132 3.111 1.002 Hf
-8.713 -1.891 2.990 Hf
-5.901 6.037 1.910 Hf
-9.481 1.036 3.897 Hf
-9.419 9.031 2.912 Hf
-13.040 4.016 4.791 Hf
-3.169 -2.491 0.950 W
-7.158 0.718 2.037 W
-7.455 3.429 2.862 W
-11.444 6.638 3.950 W

=====

BeNiIr2 | OQMD via LeMat-Bulk | PBE-GGA | relaxed; calculated density = 15.7 g/cm3; energy = -6.897 eV/atom; space-group type = I4/mmm
1.0
-2.027 2.027 2.909
2.027 -2.027 2.909
2.027 2.027 -2.909
Be Ir Ni
1 2 1
Cartesian
0.000 0.000 2.909 Be
0.000 2.027 1.455 Ir
2.027 0.000 1.455 Ir
0.000 0.000 0.000 Ni

=====

LaSmTe4 | OQMD via LeMat-Bulk | PBE-GGA | relaxed; calculated density = 7.1 g/cm3; energy = -5.014 eV/atom; space-group type = P4mm
1.0
4.525 0.000 0.000
0.000 4.525 0.000
0.000 0.000 9.177
La Sm Te
1 1 4
Cartesian
0.000 0.000 2.502 La
2.263 2.263 6.682 Sm
2.263 2.263 3.415 Te
0.000 0.000 5.832 Te
2.263 0.000 9.139 Te
0.000 2.263 9.139 Te

=====

CuPdPt | OQMD via LeMat-Bulk | PBE-GGA | relaxed; calculated density = 12.4 g/cm3; energy = -4.735 eV/atom; space-group type = F-43m; DFT formation energy = 5.70 kcal/mol of atoms; offset from the most stable computed form = 0 meV per atom
1.0
-3.342 -1.453 -1.888
-3.646 0.147 1.880
-2.893 2.589 -1.332
Cu Pd Pt
1 1 1
Cartesian
0.000 0.000 0.000 Cu
-2.470 0.321 -0.335 Pd
-7.411 0.962 -1.005 Pt

=====

IrIO | OQMD via LeMat-Bulk | PBE-GGA | relaxed; calculated density = 10.2 g/cm3; energy = -4.914 eV/atom; space-group type = P2_1/c; offset from the most stable computed form = 322 meV per atom
1.0
5.959 0.000 0.705
0.000 5.443 0.000
-0.181 0.000 6.695
I Ir O
4 4 4
Cartesian
3.605 1.395 1.156 I
2.263 4.117 2.897 I
3.515 1.326 4.503 I
2.173 4.048 6.244 I
1.101 0.283 1.160 Ir
4.767 3.005 2.893 Ir
1.010 2.439 4.507 Ir
4.677 5.160 6.240 Ir
5.540 4.375 1.504 O
0.328 1.653 2.548 O
5.450 3.790 4.852 O
0.238 1.069 5.896 O